1.
# Hf8TcS2, optimized geometry, DFT PBE
data_Hf8TcS2
_space_group_name_H-M_alt 'P 1'
_space_group_IT_number 1
_cell_length_a 4.8968
_cell_length_b 7.1654
_cell_length_c 7.1654
_cell_angle_alpha 77.46
_cell_angle_beta 90.32
_cell_angle_gamma 90.32
loop_
_space_group_symop_operation_xyz
'x,y,z'
loop_
_atom_site_label
_atom_site_type_symbol
_atom_site_fract_x
_atom_site_fract_y
_atom_site_fract_z
Hf1 Hf 0.2504 0.3561 0.8377
Hf2 Hf 0.7642 0.2057 0.2057
S1 S 0.7278 0.8240 0.8240
Hf3 Hf 0.7496 0.1623 0.6439
S2 S 0.2722 0.1760 0.1760
Hf4 Hf 0.7597 0.5939 0.5939
Hf5 Hf 0.2358 0.7943 0.7943
Tc1 Tc 0.0000 0.0000 0.0000
Hf6 Hf 0.2504 0.8377 0.3561
Hf7 Hf 0.7496 0.6439 0.1623
Hf8 Hf 0.2403 0.4061 0.4061
# - SG: C2/m

***

2.
# HfTcS2, optimized geometry, DFT PBE
data_HfTcS2
_space_group_name_H-M_alt 'P 1'
_space_group_IT_number 1
_cell_length_a 4.6486
_cell_length_b 4.6486
_cell_length_c 7.6920
_cell_angle_alpha 72.41
_cell_angle_beta 72.41
_cell_angle_gamma 90.00
loop_
_space_group_symop_operation_xyz
'x,y,z'
loop_
_atom_site_label
_atom_site_type_symbol
_atom_site_fract_x
_atom_site_fract_y
_atom_site_fract_z
S1 S 0.3750 0.4054 0.7500
Hf1 Hf 0.7500 0.2500 0.5000
S2 S 0.1554 0.6250 0.2500
Tc1 Tc 0.2500 0.7500 0.5000
S3 S 0.5946 0.1250 0.2500
S4 S 0.8750 0.8446 0.7500
Hf2 Hf 0.0000 0.0000 0.0000
Tc2 Tc 0.5000 0.5000 0.0000
# - Energy above the lowest structure with this stoichiometry: 0.000 eV/f.u.
# - SG: I-42d

***

3.
# Hf3TcS, optimized geometry, DFT PBE
data_Hf3TcS
_space_group_name_H-M_alt 'P 1'
_space_group_IT_number 1
_cell_length_a 4.9838
_cell_length_b 4.9838
_cell_length_c 4.9838
_cell_angle_alpha 90.00
_cell_angle_beta 90.00
_cell_angle_gamma 90.00
loop_
_space_group_symop_operation_xyz
'x,y,z'
loop_
_atom_site_label
_atom_site_type_symbol
_atom_site_fract_x
_atom_site_fract_y
_atom_site_fract_z
Tc1 Tc 0.0000 0.0000 0.0000
S1 S 0.5000 0.5000 0.5000
Hf1 Hf 0.5000 0.0000 0.0000
Hf2 Hf 0.0000 0.0000 0.5000
Hf3 Hf 0.0000 0.5000 0.0000
# - Energy above the lowest structure with this stoichiometry: 6.023 eV/f.u.
# - SG: Pm-3m

***

4.
# HfTcS2, optimized geometry, DFT PBE
data_HfTcS2
_space_group_name_H-M_alt 'P 1'
_space_group_IT_number 1
_cell_length_a 8.2051
_cell_length_b 8.2051
_cell_length_c 8.2051
_cell_angle_alpha 23.05
_cell_angle_beta 23.05
_cell_angle_gamma 23.05
loop_
_space_group_symop_operation_xyz
'x,y,z'
loop_
_atom_site_label
_atom_site_type_symbol
_atom_site_fract_x
_atom_site_fract_y
_atom_site_fract_z
Hf1 Hf 0.5000 0.5000 0.5000
S1 S 0.0967 0.0967 0.0967
Tc1 Tc 0.0000 0.0000 0.0000
S2 S 0.9033 0.9033 0.9033
# - Energy above the lowest structure with this stoichiometry: 0.626 eV/f.u.
# - SG: R-3m

***

Listing E_form (uncorrected) for the structures above in their given order: -0.15 -0.57 0.51 -0.41 eV/atom.
Listing total energy for the structures above in their given order: -9.079 -7.715 -8.360 -7.558 eV/atom.